# PBE-GGA Te2PSN, optimized geometry
# **ΔE to the lowest computed polymorph**: 375 meV per atom
# **Raw formation energy**: 1095 meV/atom
# **Calculated volume**: 20.898 A^3/atom
# **E_tot**: -3.734 eV per atom
data_Te2PSN
_chemical_formula_sum 'Te2 P1 S1 N1'
_space_group_name_H-M_alt 'P 4/m m m'
_space_group_IT_number 123
_space_group_name_Hall '-P 4 2'
_cell_length_a 5.624
_cell_length_b 5.624
_cell_length_c 3.304
_cell_angle_alpha 90.00
_cell_angle_beta 90.00
_cell_angle_gamma 90.00
loop_
_atom_site_label
_atom_site_fract_x
_atom_site_fract_y
_atom_site_fract_z
Te1 0.000 0.500 0.000
P1 0.000 0.000 0.500
S1 0.500 0.500 0.000
N1 0.500 0.500 0.500